<one>
The following is a PBE calculation of PIrRuCl2 after structural relaxation, from Alexandria via LeMat-Bulk.

The structure belongs to space group P4/mmm (No. 123); the cell edges are 5.022, 5.022 and 4.421 Å and the angles 90.00°, 90.00° and 90.00°. The distinct sites, in fractional coordinates, are P at (0.000, 0.000, 0.000), Ir at (0.000, 0.000, 0.500), Ru at (0.500, 0.500, 0.000) and Cl at (0.000, 0.500, 0.500).

The total magnetization comes out at 2.959 μB/cell.

<two>
The following is a PBE calculation of PIrRuCl2 after structural relaxation, from Alexandria via LeMat-Bulk.

The structure belongs to space group P4/mmm (No. 123); the cell edges are 4.740, 4.740 and 4.531 Å and the angles 90.00°, 90.00° and 90.00°. The distinct sites, in fractional coordinates, are P at (0.000, 0.000, 0.000), Ir at (0.500, 0.500, 0.000), Ru at (0.000, 0.000, 0.500) and Cl at (0.000, 0.500, 0.500).

The total magnetization comes out at 2.112 μB/cell.

Energies, relative to the best one, in meV/atom: <one> 0; <two> 166.

<one>
The following is a PBE calculation of P2IrSCl after structural relaxation, from Alexandria via LeMat-Bulk.

The structure belongs to space group P4/mmm (No. 123); the cell edges are 4.603, 4.603 and 4.863 Å and the angles 90.00°, 90.00° and 90.00°. The distinct sites, in fractional coordinates, are P at (0.000, 0.500, 0.000), Ir at (0.000, 0.000, 0.000), S at (0.000, 0.000, 0.500) and Cl at (0.500, 0.500, 0.500).

The total magnetization comes out at 1.305 μB/cell.

<two>
The following is a PBE calculation of P2IrSCl after structural relaxation, from Alexandria via LeMat-Bulk.

The structure belongs to space group P4/mmm (No. 123); the cell edges are 4.612, 4.612 and 4.734 Å and the angles 90.00°, 90.00° and 90.00°. The distinct sites, in fractional coordinates, are P at (0.000, 0.500, 0.000), Ir at (0.000, 0.000, 0.000), S at (0.500, 0.500, 0.500) and Cl at (0.000, 0.000, 0.500).

The total magnetization comes out at 0.000 μB/cell.

<three>
The following is a PBE calculation of P2IrSCl after structural relaxation, from Alexandria via LeMat-Bulk.

The structure belongs to space group P4/mmm (No. 123); the cell edges are 4.399, 4.399 and 4.529 Å and the angles 90.00°, 90.00° and 90.00°. The distinct sites, in fractional coordinates, are P at (0.000, 0.500, 0.000), Ir at (0.000, 0.000, 0.500), S at (0.500, 0.500, 0.500) and Cl at (0.500, 0.500, 0.000).

The total magnetization comes out at 0.000 μB/cell.

Energies, relative to the best one, in meV/atom: <one> 0; <two> 17; <three> 1049.

<one>
The following is a PBE calculation of SbP2IrCl after structural relaxation, from Alexandria via LeMat-Bulk.

The structure belongs to space group P4/mmm (No. 123); the cell edges are 4.660, 4.660 and 4.815 Å and the angles 90.00°, 90.00° and 90.00°. The distinct sites, in fractional coordinates, are Sb at (0.000, 0.000, 0.000), P at (0.000, 0.500, 0.500), Ir at (0.500, 0.500, 0.500) and Cl at (0.500, 0.500, 0.000).

The total magnetization comes out at 0.000 μB/cell.

<two>
The following is a PBE calculation of SbP2IrCl after structural relaxation, from Alexandria via LeMat-Bulk.

The structure belongs to space group P4/mmm (No. 123); the cell edges are 5.043, 5.043 and 4.827 Å and the angles 90.00°, 90.00° and 90.00°. The distinct sites, in fractional coordinates, are Sb at (0.000, 0.000, 0.000), P at (0.000, 0.500, 0.000), Ir at (0.500, 0.500, 0.500) and Cl at (0.000, 0.000, 0.500).

The total magnetization comes out at 0.825 μB/cell.

Energies, relative to the best one, in meV/atom: <one> 0; <two> 1150.

<one>
The following is a PBE calculation of SbPIrCl2 after structural relaxation, from Alexandria via LeMat-Bulk.

The structure belongs to space group P4/mmm (No. 123); the cell edges are 4.786, 4.786 and 4.707 Å and the angles 90.00°, 90.00° and 90.00°. The distinct sites, in fractional coordinates, are Sb at (0.000, 0.000, 0.000), P at (0.500, 0.500, 0.000), Ir at (0.500, 0.500, 0.500) and Cl at (0.000, 0.500, 0.500).

The total magnetization comes out at 0.000 μB/cell.

<two>
The following is a PBE calculation of SbPIrCl2 after structural relaxation, from Alexandria via LeMat-Bulk.

The structure belongs to space group P4/mmm (No. 123); the cell edges are 4.980, 4.980 and 5.585 Å and the angles 90.00°, 90.00° and 90.00°. The distinct sites, in fractional coordinates, are Sb at (0.000, 0.000, 0.000), P at (0.000, 0.000, 0.500), Ir at (0.500, 0.500, 0.500) and Cl at (0.000, 0.500, 0.000).

The total magnetization comes out at 1.938 μB/cell.

Energies, relative to the best one, in meV/atom: <one> 0; <two> 861.